# K2Li3CoF12

A geometry-optimized K2Li3CoF12 structure (PBE with a Hubbard U, Alexandria via LeMat-Bulk).

Cell: 7.4339 7.4339 7.4339 Å, 54.71 54.71 54.71°
Positions (direct):
K 0.1087 0.1087 0.1087
K 0.8913 0.8913 0.8913
Li 0.0000 0.5000 0.5000
Li 0.5000 0.0000 0.5000
Li 0.5000 0.5000 0.0000
Co 0.5000 0.5000 0.5000
F 0.1614 0.1614 0.5781
F 0.1614 0.5781 0.1614
F 0.1982 0.5713 0.5713
F 0.4219 0.8386 0.8386
F 0.4287 0.4287 0.8018
F 0.4287 0.8018 0.4287
F 0.5713 0.1982 0.5713
F 0.5713 0.5713 0.1982
F 0.5781 0.1614 0.1614
F 0.8018 0.4287 0.4287
F 0.8386 0.4219 0.8386
F 0.8386 0.8386 0.4219

Output
* ρ: 2.516 Mg/m³
* space-group type: No. 166
* raw total energy: -0.29220 Ry per atom